Tb3DyAg2, relaxed, DFT GGA-PBE; polymorph energy (0 for the lowest one) = 0.232 eV per atom; formation energy from the elements = 0.038 eV per atom
1.0
-3.5320 6.9956 3.7184
3.5320 -6.9956 3.7184
3.5320 6.9956 -3.7184
Tb Dy Ag
6 2 4
Cartesian
3.5320 -3.1881 1.8592 Tb
0.0000 0.0000 1.8592 Tb
3.5320 3.1881 1.8592 Tb
0.0000 3.8075 1.8592 Tb
0.0000 0.0000 5.5776 Tb
0.0000 10.1838 1.8592 Tb
3.5320 0.0000 0.0000 Dy
0.0000 6.9956 0.0000 Dy
1.4165 1.9847 0.0000 Ag
1.4165 -1.9847 3.7184 Ag
2.1155 8.9803 0.0000 Ag
2.1155 5.0110 3.7184 Ag

***

Tb4DyAg5, relaxed, DFT GGA-PBE; formation energy from the elements = -0.319 eV per atom
1.0
3.6204 0.0000 0.0000
0.0000 3.6204 0.0000
0.0000 0.0000 18.5122
Tb Dy Ag
4 1 5
Cartesian
0.0000 0.0000 1.8539 Tb
0.0000 0.0000 5.5632 Tb
0.0000 0.0000 12.9490 Tb
0.0000 0.0000 16.6583 Tb
0.0000 0.0000 9.2561 Dy
1.8102 1.8102 0.0000 Ag
1.8102 1.8102 3.7086 Ag
1.8102 1.8102 7.4245 Ag
1.8102 1.8102 11.0877 Ag
1.8102 1.8102 14.8036 Ag

***

TbDyAg, relaxed, DFT GGA-PBE; polymorph energy (0 for the lowest one) = 0.142 eV per atom; formation energy from the elements = -0.054 eV per atom
1.0
4.4218 -2.5504 0.0000
4.4218 2.5504 0.0000
-2.9586 0.0000 7.3820
Tb Dy Ag
2 2 2
Cartesian
0.0000 0.0000 0.0000 Tb
-0.0011 0.0000 3.6215 Tb
2.9458 0.0000 1.9138 Dy
2.9441 0.0000 5.5282 Dy
5.8938 0.0000 1.2575 Ag
5.8947 0.0000 4.2776 Ag

***

Tb3DyAg2, relaxed, DFT GGA-PBE; polymorph energy (0 for the lowest one) = 0.000 eV per atom; formation energy from the elements = -0.194 eV per atom
1.0
3.6304 0.0000 0.0000
0.0000 3.6304 0.0000
0.0000 0.0000 12.3093
Tb Dy Ag
3 1 2
Cartesian
0.0000 0.0000 0.0000 Tb
0.0000 0.0000 3.6769 Tb
0.0000 0.0000 8.6324 Tb
1.8152 1.8152 6.1546 Dy
1.8152 1.8152 1.8410 Ag
1.8152 1.8152 10.4683 Ag

***

TbDyAg, relaxed, DFT GGA-PBE; polymorph energy (0 for the lowest one) = 0.162 eV per atom; formation energy from the elements = -0.034 eV per atom
1.0
5.0576 0.0000 0.0000
-2.5288 4.3800 0.0000
0.0000 0.0000 3.6518
Tb Dy Ag
1 1 1
Cartesian
0.0000 0.0000 0.0000 Tb
0.0000 2.9200 1.9876 Dy
2.5288 1.4600 1.0241 Ag

***

Tb2Dy2Ag, relaxed, DFT GGA-PBE; polymorph energy (0 for the lowest one) = 0.140 eV per atom; formation energy from the elements = 0.038 eV per atom
1.0
-2.5134 2.5134 12.2574
2.5134 -2.5134 12.2574
2.5134 2.5134 -12.2574
Tb Dy Ag
4 4 2
Cartesian
2.5134 1.2567 -4.8619 Tb
0.0000 1.2567 1.2668 Tb
2.5134 1.2567 10.9906 Tb
0.0000 1.2567 17.1193 Tb
2.5134 1.2567 -1.2296 Dy
0.0000 1.2567 4.8991 Dy
2.5134 1.2567 7.3583 Dy
0.0000 1.2567 13.4870 Dy
2.5134 1.2567 3.0644 Ag
0.0000 1.2567 9.1931 Ag

***

Tb3Dy4Ag, relaxed, DFT GGA-PBE; formation energy from the elements = -0.058 eV per atom
1.0
3.5499 0.0000 0.0000
0.0000 3.5499 0.0000
0.0000 0.0000 18.9743
Tb Dy Ag
3 4 1
Cartesian
0.0000 0.0000 0.0000 Tb
0.0000 0.0000 5.0216 Tb
0.0000 0.0000 13.9527 Tb
1.7750 1.7750 2.5197 Dy
1.7750 1.7750 7.5767 Dy
1.7750 1.7750 11.3976 Dy
1.7750 1.7750 16.4545 Dy
0.0000 0.0000 9.4871 Ag

***

Tb2DyAg, relaxed, DFT GGA-PBE; polymorph energy (0 for the lowest one) = 0.000 eV per atom; formation energy from the elements = -0.126 eV per atom
1.0
3.5750 0.0000 0.0000
0.0000 3.5750 0.0000
0.0000 0.0000 8.8676
Tb Dy Ag
2 1 1
Cartesian
0.0000 0.0000 1.9155 Tb
0.0000 0.0000 6.9521 Tb
1.7875 1.7875 4.4338 Dy
1.7875 1.7875 0.0000 Ag

***

Tb2DyAg, relaxed, DFT GGA-PBE; polymorph energy (0 for the lowest one) = 0.123 eV per atom; formation energy from the elements = -0.003 eV per atom
1.0
5.4702 0.0000 0.0000
0.0000 5.4702 0.0000
0.0000 0.0000 3.6913
Tb Dy Ag
2 1 1
Cartesian
0.0000 2.7351 0.0000 Tb
2.7351 0.0000 0.0000 Tb
0.0000 0.0000 1.8457 Dy
2.7351 2.7351 1.8457 Ag

***

Tb4Dy3Ag, relaxed, DFT GGA-PBE; formation energy from the elements = -0.056 eV per atom
1.0
3.5548 0.0000 0.0000
0.0000 3.5548 0.0000
0.0000 0.0000 18.9874
Tb Dy Ag
4 3 1
Cartesian
0.0000 0.0000 1.9296 Tb
0.0000 0.0000 6.9792 Tb
0.0000 0.0000 12.0081 Tb
0.0000 0.0000 17.0578 Tb
1.7774 1.7774 4.4820 Dy
1.7774 1.7774 9.4937 Dy
1.7774 1.7774 14.5054 Dy
1.7774 1.7774 0.0000 Ag

***

TbDyAg, relaxed, DFT GGA-PBE; polymorph energy (0 for the lowest one) = 0.022 eV per atom; formation energy from the elements = -0.173 eV per atom
1.0
-1.7966 1.7966 6.2942
1.7966 -1.7966 6.2942
1.7966 1.7966 -6.2942
Tb Dy Ag
1 1 1
Cartesian
0.0000 0.0000 0.0000 Tb
0.0000 0.0000 3.7580 Dy
0.0000 0.0000 8.1949 Ag

***

Tb2DyAg, relaxed, DFT GGA-PBE; polymorph energy (0 for the lowest one) = 0.062 eV per atom; formation energy from the elements = -0.064 eV per atom
1.0
2.3913 -5.7446 0.0000
2.3913 5.7446 0.0000
0.0000 0.0000 8.4294
Tb Dy Ag
4 2 2
Cartesian
2.3913 4.1137 4.5863 Tb
2.3913 4.1137 8.0578 Tb
2.3913 -4.1137 0.3716 Tb
2.3913 -4.1137 3.8431 Tb
2.3913 0.5859 6.3220 Dy
2.3913 -0.5859 2.1073 Dy
2.3913 2.5478 2.1073 Ag
2.3913 -2.5478 6.3220 Ag